# CsCoPdSe2

An optimized crystal structure of CsCoPdSe2 (PBE-GGA, Alexandria).

a = 3.7247 Å, b = 4.2547 Å, c = 7.5998 Å
α = 90.00°, β = 90.00°, γ = 90.00°
With the nearest neighbours (Å) after each atom.
Space group Pmmm (No. 47)
Asymmetric unit:
Cs (0.0000, 0.0000, 0.0000) (multiplicity 1)  8 Se 3.63, 2 Cs 3.72
Co (0.0000, 0.5000, 0.5000) (multiplicity 1)  4 Se 2.40
Pd (0.5000, 0.0000, 0.5000) (multiplicity 1)  4 Se 2.61, 4 Co 2.83
Se (0.5000, 0.5000, 0.3000) (multiplicity 2)  2 Co 2.40, 2 Pd 2.61

Computed properties:
D(E_F)	2.6	states/eV/f.u.
ΔE_f (raw)	-479	meV/atom
energy	-4.504	eV/atom
crystal system	orthorhombic
total magnetic moment	0.286	μB per atom